Record 1
The following is a GGA-PBE calculation of TmSc3Tl2 after structural relaxation, from Alexandria.

## Properties
Formation enthalpy at 0 K (kJ/mol of formula units): -79

```
12
Lattice="5.1251 0.0000 0.0000 -2.5626 8.2758 -0.8237 0.0000 -4.4547 7.5714" Properties=species:S:1:pos:R:3 pbc="T T T"
Tl 2.5626 -3.5336 6.4227
Tl 2.5626 3.9438 0.6990
Tl 0.0000 -0.1227 6.0487
Tl 0.0000 7.3547 0.3249
Tm 0.0000 1.7184 0.5548
Tm 2.5626 2.1027 6.1929
Sc 2.5626 4.6759 3.8023
Sc 2.5626 -1.1233 4.8994
Sc 0.0000 -0.8548 2.9453
Sc 2.5626 1.5012 2.7491
Sc 0.0000 2.3199 3.9985
Sc 0.0000 4.9444 1.8482
```

=====

Record 2
The following is a GGA-PBE calculation of Ho4BI5 after structural relaxation, from Alexandria.

## Properties
Uncorrected formation energy (eV/atom): -1.055

```
10
Lattice="-0.3807 -4.0038 0.2970 2.4485 0.3745 8.1849 -10.0431 3.2024 2.9186" Properties=species:S:1:pos:R:3 pbc="T T T"
I 1.0339 -1.8147 4.2410
I -1.2034 0.6324 6.9811
I -2.4047 0.4497 2.9801
I -6.7719 -1.0593 4.4195
I -5.5706 -0.8767 8.4205
Ho -0.0882 -1.3533 9.0216
Ho -7.8870 0.9263 2.3790
Ho -8.4537 -0.5004 9.7976
Ho 0.4785 0.0734 1.6030
B -0.1903 -2.0019 0.1485
```

=====

Record 3
The following is a GGA-PBE calculation of Tm7Cd2Au2 after structural relaxation, from Alexandria.

## Properties
Formation enthalpy at 0 K (kJ/mol of formula units): -252

```
11
Lattice="6.7264 -0.0027 -0.8566 0.0030 7.2171 0.0034 -1.2740 -0.0023 6.6600" Properties=species:S:1:pos:R:3 pbc="T T T"
Cd 0.9574 3.6077 1.0191
Cd 4.4981 3.6045 4.7877
Tm 0.0000 0.0000 0.0000
Tm 6.0885 1.9168 2.4766
Tm 2.0938 5.2929 6.2326
Tm 2.7253 1.8318 2.9041
Tm -0.6331 5.2954 3.3302
Tm 2.7301 5.3803 2.9027
Tm 3.3616 1.9193 -0.4258
Au 1.0722 -0.0022 4.4556
Au 4.3832 7.2143 1.3511
```

=====

Record 4
The following is a GGA-PBE calculation of CuPdRhO6 after structural relaxation, from Alexandria.

## Properties
Uncorrected formation energy (eV/atom): -0.335

```
18
Lattice="-3.1168 2.8425 -2.8928 -1.7400 -2.1121 4.3213 2.3334 6.9930 4.3574" Properties=species:S:1:pos:R:3 pbc="T T T"
O -0.8265 1.8450 -0.4680
O -0.8244 2.9141 2.1293
O -1.6968 5.8785 6.2540
O -1.3641 3.2369 6.0009
O 0.3498 6.3838 4.3471
O 0.8192 3.6174 4.2210
O -1.6989 4.8093 3.6567
O -3.3425 4.1060 1.5650
O 0.8977 4.7793 6.6286
O -1.1592 4.4866 -0.2149
O -2.8731 1.3396 1.4389
O -3.4211 2.9441 -0.8426
Pd -1.6156 1.2877 3.0060
Pd -0.9078 6.4357 2.7800
Cu 0.0000 0.0000 0.0000
Cu 1.1667 3.4965 2.1787
Rh -2.0745 2.9392 0.6013
Rh -0.4488 4.7842 5.1847
```

=====

Record 5
The following is a GGA-PBE calculation of Ba8Na2Sr after structural relaxation, from Alexandria.

## Properties
Formation enthalpy at 0 K (kJ/mol of formula units): 87

```
11
Lattice="-4.1669 2.8080 5.1274 -6.3936 0.8194 -8.1380 1.0069 -9.6762 3.6241" Properties=species:S:1:pos:R:3 pbc="T T T"
Ba -0.5534 -2.7866 1.0118
Ba -2.3617 -0.2220 -1.8623
Ba -9.0002 -3.2622 -0.3983
Ba -4.9413 -1.5248 1.7484
Ba -6.6944 -0.3048 -2.7410
Ba -7.1919 -5.8268 2.4758
Ba -4.6123 -4.5240 -1.1349
Ba -2.8592 -5.7440 3.3546
Na -1.3178 -6.3792 -0.0707
Na -4.0689 -2.4776 -4.4431
Sr -2.0835 1.4040 2.5637
```

=====

What did the second record say?
The following is a GGA-PBE calculation of Ho4BI5 after structural relaxation, from Alexandria.

## Properties
Uncorrected formation energy (eV/atom): -1.055

```
10
Lattice="-0.3807 -4.0038 0.2970 2.4485 0.3745 8.1849 -10.0431 3.2024 2.9186" Properties=species:S:1:pos:R:3 pbc="T T T"
I 1.0339 -1.8147 4.2410
I -1.2034 0.6324 6.9811
I -2.4047 0.4497 2.9801
I -6.7719 -1.0593 4.4195
I -5.5706 -0.8767 8.4205
Ho -0.0882 -1.3533 9.0216
Ho -7.8870 0.9263 2.3790
Ho -8.4537 -0.5004 9.7976
Ho 0.4785 0.0734 1.6030
B -0.1903 -2.0019 0.1485
```

=====

Repeat the fifth record exactly.
The following is a GGA-PBE calculation of Ba8Na2Sr after structural relaxation, from Alexandria.

## Properties
Formation enthalpy at 0 K (kJ/mol of formula units): 87

```
11
Lattice="-4.1669 2.8080 5.1274 -6.3936 0.8194 -8.1380 1.0069 -9.6762 3.6241" Properties=species:S:1:pos:R:3 pbc="T T T"
Ba -0.5534 -2.7866 1.0118
Ba -2.3617 -0.2220 -1.8623
Ba -9.0002 -3.2622 -0.3983
Ba -4.9413 -1.5248 1.7484
Ba -6.6944 -0.3048 -2.7410
Ba -7.1919 -5.8268 2.4758
Ba -4.6123 -4.5240 -1.1349
Ba -2.8592 -5.7440 3.3546
Na -1.3178 -6.3792 -0.0707
Na -4.0689 -2.4776 -4.4431
Sr -2.0835 1.4040 2.5637
```